1.
{
  "formula": "Co2TcW",
  "functional": "PBE-GGA",
  "state": "optimized geometry",
  "dos_ef_per_ev_atom": 1.03,
  "vol_a3_per_atom": 12.80,
  "formation_enthalpy_0k_mev_per_atom": 13,
  "spacegroup": "I4/mmm",
  "cell": [[3.709, 0.000, 0.000], [0.000, 3.709, 0.000], [0.000, 0.000, 7.442]],
  "species": ["Co", "Co", "Co", "Co", "Tc", "Tc", "W", "W"],
  "frac_coords": [[0.000, 0.500, 0.250], [0.000, 0.500, 0.750], [0.500, 0.000, 0.250], [0.500, 0.000, 0.750], [0.000, 0.000, 0.000], [0.500, 0.500, 0.500], [0.000, 0.000, 0.500], [0.500, 0.500, 0.000]]
}

***

2.
{
  "formula": "Pr5In2S12",
  "functional": "PBE-GGA",
  "state": "optimized geometry",
  "dos_ef_per_ev_atom": 0.31,
  "raw_formation_energy_kcal_per_mol_atoms": -31.26,
  "vol_a3_per_atom": 26.42,
  "spacegroup": "C2/m",
  "cell": [[7.552, -3.755, 0.000], [7.552, 3.755, 0.000], [-2.083, 0.000, 8.851]],
  "species": ["Pr", "Pr", "Pr", "Pr", "Pr", "In", "In", "S", "S", "S", "S", "S", "S", "S", "S", "S", "S", "S", "S"],
  "frac_coords": [[0.000, 0.000, 0.000], [0.291, 0.291, 0.151], [0.325, 0.325, 0.700], [0.675, 0.675, 0.300], [0.709, 0.709, 0.849], [0.240, 0.760, 0.500], [0.760, 0.240, 0.500], [0.025, 0.025, 0.702], [0.068, 0.553, 0.435], [0.104, 0.600, 0.940], [0.400, 0.896, 0.060], [0.447, 0.932, 0.565], [0.486, 0.486, 0.302], [0.514, 0.514, 0.698], [0.553, 0.068, 0.435], [0.600, 0.104, 0.940], [0.896, 0.400, 0.060], [0.932, 0.447, 0.565], [0.975, 0.975, 0.298]]
}

***

3.
{
  "formula": "Sr2ZrZn",
  "functional": "PBE-GGA",
  "state": "optimized geometry",
  "dos_ef_per_ev_atom": 1.04,
  "vol_a3_per_atom": 30.98,
  "formation_enthalpy_0k_mev_per_atom": 391,
  "spacegroup": "Pmmm",
  "cell": [[3.624, 0.000, 0.000], [0.000, 4.899, 0.000], [0.000, 0.000, 6.980]],
  "species": ["Sr", "Sr", "Zr", "Zn"],
  "frac_coords": [[0.000, 0.000, 0.243], [0.000, 0.000, 0.757], [0.500, 0.500, 0.500], [0.500, 0.500, 0.000]]
}